Entry 1:
VASP calculation (PBE) on MgCdSb2 after structural relaxation.

It has space group Cm (No. 8), with a = 11.480 Å, b = 3.257 Å, c = 5.488 Å, α = 90.00°, β = 90.01° and γ = 90.00°. The distinct sites, in fractional coordinates, are Mg at (0.000, 0.000, 0.000), Cd at (0.231, 0.000, 0.501), Sb at (0.235, 0.500, 0.001) and Sb at (0.490, 0.000, 0.501).

The calculation puts the offset from the most stable computed form at 0.0337 eV per atom. As for the crystal system: monoclinic. The formation energy (no corrections) is -0.0303 eV per atom. The calculation puts the total moment at 0.00 μB per cell.



Entry 2:
VASP calculation (PBE) on Mg2CdSb after structural relaxation.

It has space group Cmmm (No. 65), with a = 4.673 Å, b = 4.688 Å, c = 8.485 Å, α = 90.00°, β = 90.00° and γ = 90.00°. The distinct sites, in fractional coordinates, are Mg at (0.000, 0.000, 0.232), Cd at (0.000, 0.500, 0.000) and Sb at (0.000, 0.500, 0.500).

The calculation puts the offset from the most stable computed form at 0.0594 eV per atom. As for the crystal system: orthorhombic. The formation energy (no corrections) is -0.0931 eV per atom. The calculation puts the total moment at 0.00 μB per cell.



Entry 3:
VASP calculation (PBE) on Mg2Cd2Sb after structural relaxation.

It has space group I4/mmm (No. 139), with a = 4.295 Å, b = 4.295 Å, c = 13.379 Å, α = 90.00°, β = 90.00° and γ = 90.00°. The distinct sites, in fractional coordinates, are Mg at (0.000, 0.500, 0.250), Cd at (0.000, 0.000, 0.103) and Sb at (0.000, 0.000, 0.500).

The calculation puts the offset from the most stable computed form at 0.1035 eV per atom. As for the crystal system: tetragonal. The formation energy (no corrections) is 0.0816 eV per atom. The calculation puts the total moment at 0.00 μB per cell.



Entry 4:
VASP calculation (PBE) on MgCdSb2 after structural relaxation.

It has space group C2/m (No. 12), with a = 10.374 Å, b = 3.550 Å, c = 5.724 Å, α = 90.00°, β = 104.24° and γ = 90.00°. The distinct sites, in fractional coordinates, are Mg at (0.000, 0.000, 0.000), Cd at (0.000, 0.500, 0.500) and Sb at (0.243, 0.500, 0.239).

The calculation puts the offset from the most stable computed form at 0.0832 eV per atom. As for the crystal system: monoclinic. The formation energy (no corrections) is 0.0192 eV per atom. The calculation puts the total moment at 0.00 μB per cell.



Entry 5:
VASP calculation (PBE) on MgCdSb2 after structural relaxation.

It has space group C2/m (No. 12), with a = 6.565 Å, b = 8.535 Å, c = 3.746 Å, α = 90.00°, β = 102.80° and γ = 90.00°. The distinct sites, in fractional coordinates, are Mg at (0.000, 0.000, 0.000), Cd at (0.000, 0.500, 0.000) and Sb at (0.250, 0.250, 0.500).

The calculation puts the offset from the most stable computed form at 0.0629 eV per atom. As for the crystal system: monoclinic. The formation energy (no corrections) is -0.0011 eV per atom. The calculation puts the total moment at 0.00 μB per cell.



Entry 6:
VASP calculation (PBE) on Mg2CdSb after structural relaxation.

It has space group Pm (No. 6), with a = 3.256 Å, b = 5.373 Å, c = 5.373 Å, α = 90.00°, β = 90.03° and γ = 90.00°. The distinct sites, in fractional coordinates, are Mg at (0.000, 0.000, 0.000), Mg at (0.000, 0.500, 0.424), Cd at (0.498, 0.500, 0.930) and Sb at (0.497, 0.000, 0.501).

The calculation puts the offset from the most stable computed form at 0.0431 eV per atom. As for the crystal system: monoclinic. The formation energy (no corrections) is -0.1094 eV per atom. The calculation puts the total moment at 0.00 μB per cell.



Number 1: raw total energy -2.72 eV per atom. Number 2: raw total energy -2.15 eV per atom. Number 3: raw total energy -1.75 eV per atom. Number 4: raw total energy -2.67 eV per atom. Number 5: raw total energy -2.69 eV per atom. Number 6: raw total energy -2.17 eV per atom.